DFT (PBE-GGA) results for a geometry-optimized KMoOsN2 structure.

Calculated values
Spin magnetization (μB/f.u.): 2.011
Space group: P4/mmm
ΔE_f (raw) (eV/f.u.): 18.521

Lattice parameters (Å, degrees): 4.136 5.610 4.136 90.00 90.00 90.00
Each line ends with the local moment (μB).
Element x y z (fractional)
N  0.000  0.000  0.500  0.99
N  0.500  0.000  0.000  0.96
Mo  0.500  0.500  0.500  -2.54
K  0.000  0.000  0.000  0.08
Os  0.000  0.500  0.000  2.04

***

DFT (PBE-GGA) results for a geometry-optimized KMo2PN structure.

Calculated values
Spin magnetization (μB/f.u.): 0.000
Space group: P4/mmm
ΔE_f (raw) (eV/f.u.): 4.024

Lattice parameters (Å, degrees): 4.096 5.153 4.096 90.00 90.00 90.00
Element x y z (fractional)
P  0.000  0.500  0.000
N  0.000  0.000  0.000
Mo  0.000  0.000  0.500
Mo  0.500  0.000  0.000
K  0.500  0.500  0.500

***

DFT (PBE-GGA) results for a geometry-optimized KMoP2N6 structure.

Calculated values
Spin magnetization (μB/f.u.): 0.000
Space group: C2/c
ΔE_f (raw) (eV/f.u.): -1.582

Lattice parameters (Å, degrees): 5.404 7.535 7.535 98.44 77.78 77.78
Element x y z (fractional)
N  0.087  0.750  0.765
N  0.748  0.673  0.028
N  0.252  0.327  0.972
N  0.587  0.765  0.750
N  0.056  0.567  0.294
N  0.556  0.294  0.567
N  0.444  0.706  0.433
N  0.413  0.235  0.250
N  0.913  0.250  0.235
N  0.944  0.433  0.706
N  0.248  0.028  0.673
N  0.752  0.972  0.327
P  0.655  0.199  0.347
P  0.845  0.653  0.801
P  0.155  0.347  0.199
P  0.345  0.801  0.653
K  0.250  0.886  0.114
K  0.750  0.114  0.886
Mo  0.250  0.274  0.726
Mo  0.750  0.726  0.274

***

DFT (PBE-GGA) results for a geometry-optimized KPaMoN4 structure.

Calculated values
Spin magnetization (μB/f.u.): 0.000
Space group: P2_1/m
ΔE_f (raw) (eV/f.u.): -5.422

Lattice parameters (Å, degrees): 6.104 5.959 7.766 90.00 107.43 90.00
Element x y z (fractional)
N  0.476  0.750  0.212
N  0.048  0.514  0.337
N  0.952  0.486  0.663
N  0.524  0.250  0.788
N  0.477  0.750  0.559
N  0.523  0.250  0.441
N  0.952  0.014  0.663
N  0.048  0.986  0.337
Mo  0.260  0.750  0.341
Mo  0.740  0.250  0.659
Pa  0.794  0.750  0.449
Pa  0.206  0.250  0.551
K  0.678  0.750  0.924
K  0.322  0.250  0.076

***

Question: spin magnetization of number 3 (KMoP2N6)?
Answer: 0.000 μB/f.u.

***

Question: Which value of spin magnetization does entry 1 give?
Answer: 2.011 μB/f.u.

***

Copy entry 1 word for word.
DFT (PBE-GGA) results for a geometry-optimized KMoOsN2 structure.

Calculated values
Spin magnetization (μB/f.u.): 2.011
Space group: P4/mmm
ΔE_f (raw) (eV/f.u.): 18.521

Lattice parameters (Å, degrees): 4.136 5.610 4.136 90.00 90.00 90.00
Each line ends with the local moment (μB).
Element x y z (fractional)
N  0.000  0.000  0.500  0.99
N  0.500  0.000  0.000  0.96
Mo  0.500  0.500  0.500  -2.54
K  0.000  0.000  0.000  0.08
Os  0.000  0.500  0.000  2.04